DFT (PBE) results for a geometry-optimized Tb2NdSmY structure.

Properties
The calculation puts the calculated density at 6.60 g cm⁻³. As for the total energy: -4.6627 eV/atom. For the energy relative to the elements, the calculation gives 380 meV per atom. The size of the total moment comes out at 0.0 μB/cell.

Cell lengths 8.4199, 11.6375, 7.2000 Å; angles 90.00, 90.00, 90.00 degrees
Space group Cmcm (No. 63)
Unique sites:
Tb  0.1886  0.0000  0.0000 (multiplicity 8)
Nd  0.0000  0.2210  0.2500 (multiplicity 4)
Sm  0.0000  0.4854  0.2500 (multiplicity 4)
Y  0.0000  0.2318  0.7500 (multiplicity 4)

---

DFT (PBE) results for a geometry-optimized Cs2PSe structure.

Properties
For the formation energy (no corrections), the calculation gives -33 kJ/mol of formula units. The calculation puts the calculated density at 3.80 g cm⁻³. As for the total energy: -2.7360 eV/atom. The size of the total moment comes out at 12.0 μB/cell.

Cell lengths 8.6959, 8.6959, 8.6959 Å; angles 90.00, 90.00, 90.00 degrees
Space group Fm-3m (No. 225)
Unique sites:
Cs  0.2500  0.2500  0.2500 (multiplicity 8)
P  0.0000  0.0000  0.0000 (multiplicity 4)
Se  0.0000  0.0000  0.5000 (multiplicity 4)

---

DFT (PBE) results for a geometry-optimized Al4TeP structure.

Properties
For the formation energy (no corrections), the calculation gives 218 kJ/mol of formula units. The calculation puts the calculated density at 3.87 g cm⁻³. As for the total energy: -3.5441 eV/atom. The size of the total moment comes out at 0.0 μB/cell.

Cell lengths 7.7056, 7.7056, 7.7056 Å; angles 90.00, 90.00, 90.00 degrees
Space group F-43m (No. 216)
Unique sites:
Al  0.1244  0.1244  0.1244 (multiplicity 16)
Te  0.0000  0.0000  0.5000 (multiplicity 4)
P  0.2500  0.2500  0.7500 (multiplicity 4)

---

DFT (PBE) results for a geometry-optimized KCaHg2 structure.

Properties
The calculation puts the calculated density at 5.55 g cm⁻³. As for the total energy: -1.0575 eV/atom. For the energy relative to the elements, the calculation gives -132 meV per atom. The size of the total moment comes out at 0.0 μB/cell.

Cell lengths 8.7631, 8.7631, 7.4914 Å; angles 90.00, 90.00, 90.00 degrees
Space group I-42d (No. 122)
Unique sites:
K  0.0000  0.0000  0.0000 (multiplicity 4)
Ca  0.0000  0.0000  0.5000 (multiplicity 4)
Hg  0.2262  0.7500  0.6250 (multiplicity 8)

---

DFT (PBE) results for a geometry-optimized NiMo4Se structure.

Properties
For the formation energy (no corrections), the calculation gives 413 kJ/mol of formula units. The calculation puts the calculated density at 8.58 g cm⁻³. As for the total energy: -8.0512 eV/atom. The size of the total moment comes out at 0.0 μB/cell.

Cell lengths 7.3902, 7.3902, 7.3902 Å; angles 90.00, 90.00, 90.00 degrees
Space group F-43m (No. 216)
Unique sites:
Ni  0.0000  0.0000  0.0000 (multiplicity 4)
Mo  0.1262  0.1262  0.3738 (multiplicity 16)
Se  0.2500  0.2500  0.7500 (multiplicity 4)

---

DFT (PBE) results for a geometry-optimized PrSmGePd structure.

Properties
The calculation puts the calculated density at 7.98 g cm⁻³. As for the total energy: -5.5492 eV/atom. For the energy relative to the elements, the calculation gives -722 meV per atom. The size of the total moment comes out at 0.0 μB/cell.

Cell lengths 7.3144, 7.3144, 7.3144 Å; angles 90.00, 90.00, 90.00 degrees
Space group F-43m (No. 216)
Unique sites:
Pr  0.0000  0.0000  0.0000 (multiplicity 4)
Sm  0.0000  0.0000  0.5000 (multiplicity 4)
Ge  0.2500  0.2500  0.2500 (multiplicity 4)
Pd  0.2500  0.2500  0.7500 (multiplicity 4)

---

DFT (PBE) results for a geometry-optimized La2PrDy2Tm structure.

Properties
The calculation puts the calculated density at 7.46 g cm⁻³. As for the total energy: -4.6545 eV/atom. For the energy relative to the elements, the calculation gives 64 meV per atom. The size of the total moment comes out at 0.0 μB/cell.

Cell lengths 7.1276, 5.7418, 9.9257 Å; angles 90.00, 90.00, 90.00 degrees
Space group Pmma (No. 51)
Unique sites:
La  0.0000  0.0000  0.0000 (multiplicity 2)
La  0.2500  0.5000  0.1803 (multiplicity 2)
Pr  0.2500  0.0000  0.6573 (multiplicity 2)
Dy  0.2500  0.0000  0.3332 (multiplicity 2)
Dy  0.2500  0.5000  0.8350 (multiplicity 2)
Tm  0.0000  0.5000  0.5000 (multiplicity 2)

---

DFT (PBE) results for a geometry-optimized Ti4Ru3Rh structure.

Properties
The calculation puts the calculated density at 8.44 g cm⁻³. As for the total energy: -9.1029 eV/atom. For the energy relative to the elements, the calculation gives -758 meV per atom. The size of the total moment comes out at 0.0 μB/cell.

Cell lengths 3.0991, 4.3566, 8.7074 Å; angles 90.00, 90.00, 90.00 degrees
Space group Pmmm (No. 47)
Unique sites:
Ti  0.0000  0.0000  0.0000 (multiplicity 1)
Ti  0.0000  0.0000  0.5000 (multiplicity 1)
Ti  0.0000  0.5000  0.2463 (multiplicity 2)
Ru  0.5000  0.0000  0.2515 (multiplicity 2)
Ru  0.5000  0.5000  0.0000 (multiplicity 1)
Rh  0.5000  0.5000  0.5000 (multiplicity 1)

---

DFT (PBE) results for a geometry-optimized RbBaBi structure.

Properties
The calculation puts the calculated density at 4.37 g cm⁻³. As for the total energy: -2.7348 eV/atom. For the energy relative to the elements, the calculation gives -478 meV per atom. The size of the total moment comes out at 0.0 μB/cell.

Cell lengths 5.6862, 5.6862, 5.8545 Å; angles 90.00, 90.00, 120.00 degrees
Space group P3m1 (No. 156)
Unique sites:
Rb  0.0000  0.0000  0.0000 (multiplicity 1)
Ba  0.3333  0.6667  0.5181 (multiplicity 1)
Bi  0.6667  0.3333  0.3276 (multiplicity 1)

---

DFT (PBE) results for a geometry-optimized SiPSe2 structure.

Properties
For the formation energy (no corrections), the calculation gives 95 kJ/mol of formula units. The calculation puts the calculated density at 4.64 g cm⁻³. As for the total energy: -4.2045 eV/atom. The size of the total moment comes out at 0.0 μB/cell.

Cell lengths 6.5076, 3.8878, 6.5589 Å; angles 90.00, 110.78, 90.00 degrees
Space group C2/m (No. 12)
Unique sites:
Si  0.0000  0.0000  0.0000 (multiplicity 2)
P  0.0000  0.5000  0.5000 (multiplicity 2)
Se  0.2502  0.0000  0.7547 (multiplicity 4)

---

DFT (PBE) results for a geometry-optimized CoReSe2 structure.

Properties
For the formation energy (no corrections), the calculation gives -33 kJ/mol of formula units. The calculation puts the calculated density at 7.52 g cm⁻³. As for the total energy: -6.7173 eV/atom. The size of the total moment comes out at 0.1 μB/cell.

Cell lengths 3.7877, 3.7875, 6.2029 Å; angles 90.00, 90.49, 90.00 degrees
Space group Pm (No. 6)
Unique sites:
Co  0.0000  0.0000  0.0000 (multiplicity 1)
Re  0.4998  0.5000  0.0000 (multiplicity 1)
Se  0.5034  0.0000  0.2426 (multiplicity 1)
Se  0.9964  0.5000  0.7575 (multiplicity 1)

---

DFT (PBE) results for a geometry-optimized Be2WBr structure.

Properties
For the formation energy (no corrections), the calculation gives 325 kJ/mol of formula units. The calculation puts the calculated density at 8.34 g cm⁻³. As for the total energy: -4.6775 eV/atom. The size of the total moment comes out at 0.0 μB/cell.

Cell lengths 2.9223, 4.3239, 8.8797 Å; angles 90.00, 90.00, 90.00 degrees
Space group Imm2 (No. 44)
Unique sites:
Be  0.0000  0.0000  0.0000 (multiplicity 2)
Be  0.0000  0.5000  0.3094 (multiplicity 2)
W  0.0000  0.0000  0.5715 (multiplicity 2)
Br  0.0000  0.5000  0.7297 (multiplicity 2)